A plane-wave DFT calculation with PBE was carried out for Pu2NpN4 after structural relaxation.

The structure in POSCAR format:
```
Pu2NpN4
1.0
-4.7818 2.5147 -3.0694
1.1479 -5.7317 -2.1074
-1.5037 -0.1731 6.0266
Pu Np N
4 2 8
direct
0.8750 0.1315 0.5065
0.4935 0.3685 0.6250
0.3750 0.8685 0.7435
0.2565 0.6315 0.1250
0.0000 0.0000 0.0000
0.7500 0.5000 0.2500
0.1140 0.8697 0.3690
0.6310 0.7451 0.5007
0.9944 0.6303 0.7493
0.2507 0.2451 0.8810
0.6360 0.7549 0.0056
0.7556 0.2549 0.8860
0.4993 0.1303 0.2444
0.1190 0.3697 0.3640
```

Properties
Crystal system ... tetragonal
E_form (uncorrected) ... -717 kJ/mol of formula units
Total energy ... -11.762 eV/atom